(1)
Compound: La4Pm2YEr2
Source: the Alexandria database
Functional: PBE-GGA
Structure: optimized geometry

Unit cell a=5.198 b=8.204 c=8.110 alpha=107.64 beta=90.00 gamma=108.47
Positions (direct):
La (0.776, 0.552, 0.669)
La (0.224, 0.448, 0.331)
La (0.554, 0.108, 0.330)
La (0.446, 0.892, 0.670)
Pm (0.888, 0.775, 0.330)
Pm (0.112, 0.225, 0.670)
Y (0.000, 0.000, 0.000)
Er (0.332, 0.665, 0.000)
Er (0.668, 0.335, 0.000)

Calculated volume (Å³/atom): 34.5
Raw total energy (eV per atom): -4.95

---

(2)
Compound: LaPm2Y6Er3
Source: the Alexandria database
Functional: PBE-GGA
Structure: optimized geometry

Unit cell a=6.213 b=6.213 c=11.854 alpha=95.00 beta=95.00 gamma=119.97
Positions (direct):
La (0.000, 0.000, 0.000)
Pm (0.333, 0.667, 0.000)
Pm (0.667, 0.333, 0.000)
Y (0.914, 0.580, 0.745)
Y (0.752, 0.752, 0.255)
Y (0.086, 0.420, 0.255)
Y (0.580, 0.914, 0.745)
Y (0.248, 0.248, 0.745)
Y (0.420, 0.086, 0.255)
Er (0.167, 0.833, 0.500)
Er (0.833, 0.167, 0.500)
Er (0.500, 0.500, 0.500)

Calculated volume (Å³/atom): 32.5
Raw total energy (eV per atom): -5.55